VASP calculation (PBE-GGA) on an optimized crystal structure of MgBi7Pb12.

Unit cell a=9.191 b=9.192 c=9.192 alpha=106.77 beta=106.77 gamma=106.77
Fractional coordinates of all 20 atoms:
Bi (0.923, 0.036, 0.322)
Bi (0.500, 0.500, 0.500)
Bi (0.077, 0.964, 0.678)
Bi (0.964, 0.678, 0.077)
Bi (0.678, 0.077, 0.964)
Bi (0.322, 0.923, 0.036)
Bi (0.036, 0.322, 0.923)
Pb (0.633, 0.340, 0.773)
Pb (0.974, 0.586, 0.696)
Pb (0.026, 0.414, 0.304)
Pb (0.227, 0.366, 0.660)
Pb (0.773, 0.634, 0.340)
Pb (0.586, 0.696, 0.974)
Pb (0.414, 0.304, 0.026)
Pb (0.340, 0.773, 0.634)
Pb (0.367, 0.660, 0.227)
Pb (0.304, 0.026, 0.414)
Pb (0.696, 0.974, 0.586)
Pb (0.660, 0.227, 0.366)
Mg (0.000, 0.000, 0.000)

## Properties
* size of the total moment: 0.000 μB/f.u.
* space group: R-3 (148)
* volume: 32.54 A^3/atom
* E: -72.32 eV for the cell shown

=====

VASP calculation (PBE-GGA) on an optimized crystal structure of MgBiPb.

Unit cell a=5.103 b=5.103 c=5.103 alpha=60.00 beta=60.00 gamma=60.00
Fractional coordinates of all 3 atoms:
Bi (0.000, 0.000, 0.000)
Pb (0.500, 0.500, 0.500)
Mg (0.250, 0.250, 0.250)

## Properties
* size of the total moment: 0.000 μB/f.u.
* space group: F-43m (216)
* volume: 31.32 A^3/atom
* E: -9.31 eV for the cell shown

=====

no.,formation enthalpy at 0 K (eV per atom)
1,0.047
2,-0.043